The following is a DFT calculation (GGA-PBE) of an optimized crystal structure of NdHg.

a b c (Å): 3.839 3.839 3.839
angles (deg): 90.00 90.00 90.00
Fractional coordinates of all 2 atoms:
Nd1 0.000 0.000 0.000
Hg1 0.500 0.500 0.500

Computed properties:
The space group is Pm-3m (221). The total magnetization is 0.41 μB per cell.

The following is a DFT calculation (GGA-PBE) of an optimized crystal structure of Nd2Hg5.

a b c (Å): 8.756 8.756 8.756
angles (deg): 129.31 70.97 133.84
Fractional coordinates of all 14 atoms:
Nd1 0.111 0.199 0.310
Nd2 0.389 0.699 0.088
Nd3 0.611 0.301 0.912
Nd4 0.889 0.801 0.690
Hg1 0.021 0.750 0.271
Hg2 0.113 0.781 0.895
Hg3 0.250 0.750 0.500
Hg4 0.387 0.281 0.668
Hg5 0.479 0.750 0.729
Hg6 0.521 0.250 0.271
Hg7 0.613 0.719 0.332
Hg8 0.750 0.250 0.500
Hg9 0.887 0.219 0.105
Hg10 0.979 0.250 0.729

Computed properties:
The space group is Ibam (72). The total magnetization is 0.00 μB per cell.

Computed ρ, in the same sequence as the records: 10.121, 11.688 Mg/m³.
Computed ΔH_f (0 K), in the same sequence as the records: -0.472, -0.397 eV per atom.